The following is a DFT calculation (PBE) of a geometry-optimized TiReSnO6 structure.

Cell and atoms, written as POSCAR:
```
TiReSnO6
1.0
-3.5239 -4.4012 4.5664
5.7764 -0.1717 4.2922
-2.9581 6.4854 -1.7960
O Sn Ti Re
12 2 2 2
direct
0.5722 0.9513 0.7671
0.1902 0.9402 0.3804
0.4278 0.6842 0.2329
0.8098 0.0598 0.6196
0.1950 0.3158 0.7671
0.8050 0.6842 0.2329
0.5613 0.3113 0.1225
0.4278 0.0487 0.2329
0.8050 0.0487 0.2329
0.4387 0.6887 0.8775
0.5722 0.3158 0.7671
0.1950 0.9513 0.7671
0.0075 0.2575 0.0149
0.9925 0.7425 0.9851
0.0000 0.0000 0.5000
0.5000 0.0000 0.5000
0.5000 0.0000 0.0000
0.5000 0.5000 0.0000
```

Output
E_form (uncorrected)	-1824	meV/atom